First-principles (GGA-PBE) data for a geometry-optimized AcAgSe2 structure, as listed in the Alexandria database.

Summary:
The mass density comes out at 7.5 Mg/m³. Its uncorrected formation energy is -1.3368 eV/atom. The calculated total energy comes out at -4.82 eV per atom. The value obtained for the magnetization is 0.00 μB/cell. The calculation puts the volume at 27.35 A^3/atom.

Cell: 7.247 7.966 7.671 Å, 90.00 98.83 90.00°
Space group P2_1/c (No. 14)
Symmetry-distinct sites (fractional):
Ac1 0.195 0.048 0.299 (multiplicity 4)
Ag1 0.417 0.662 0.452 (multiplicity 4)
Se1 0.070 0.731 0.504 (multiplicity 4)
Se2 0.400 0.110 0.709 (multiplicity 4)